VASP calculation (meta-GGA SCAN) on LiCrCd2Ni at its PBEsol-relaxed geometry.

Cell: 4.0318 4.5022 4.5022 Å, 90.00 90.00 90.00°
Last column: nearest neighbours and their distance in Å.
Fractional coordinates of all 5 atoms:
Ni 0.5000 0.0000 0.0000  2 Li 2.02
Li 0.0000 0.0000 0.0000  2 Ni 2.02, 4 Cd 2.25
Cr 0.5000 0.5000 0.5000  8 Cd 3.02, 4 Ni 3.18
Cd 0.0000 0.0000 0.5000  2 Li 2.25
Cd 0.0000 0.5000 0.0000  2 Li 2.25

- VASP energy: -18.974 eV/atom
- Crystal system: tetragonal
- N(E_F): 2.0 states/eV per cell
- Calculated formation energy: 0.5812 eV/atom